[1]
# Th2ScZn12Cu3

A geometry-optimized Th2ScZn12Cu3 structure (GGA-PBE, Alexandria).

Computed properties:
Energy relative to the elements (eV per atom): 0.2935
Total DFT energy (no corrections) (hartree per atom): -0.0887

a = 8.0248 Å, b = 8.0248 Å, c = 21.0272 Å
α = 90.00°, β = 90.00°, γ = 120.00°
Space group R-3m (No. 166, hexagonal axes)
Unique sites:
1 Th 0.0000 0.0000 0.1003 x6
2 Sc 0.0000 0.0000 0.5000 x3
3 Zn 0.0127 0.5064 0.3510 x18
4 Zn 0.0817 0.5408 0.8859 x18
5 Cu 0.0000 0.5000 0.0000 x9

[2]
# ThSc2ZnCu4

A geometry-optimized ThSc2ZnCu4 structure (GGA-PBE, Alexandria).

Computed properties:
Energy relative to the elements (eV per atom): -0.1603
Total DFT energy (no corrections) (hartree per atom): -0.1793

a = 4.5111 Å, b = 4.5111 Å, c = 24.8451 Å
α = 90.00°, β = 90.00°, γ = 120.00°
Space group R-3m (No. 166, hexagonal axes)
Unique sites:
1 Th 0.0000 0.0000 0.0000 x3
2 Sc 0.0000 0.0000 0.2330 x6
3 Zn 0.0000 0.0000 0.5000 x3
4 Cu 0.0000 0.0000 0.1200 x6
5 Cu 0.0000 0.0000 0.3996 x6